# PBE Ba2Zn7Ag, optimized geometry
# M_tot	0.00	μB per formula unit
# theoretical density	6.06	g/cm3
# ΔE_f	-0.1778	eV per atom
# density of states at the Fermi level	6.25	states/eV/f.u.
data_Ba2Zn7Ag
_chemical_formula_sum 'Ba2 Zn7 Ag1'
_cell_length_a 4.547
_cell_length_b 4.547
_cell_length_c 11.137
_cell_angle_alpha 90.00
_cell_angle_beta 90.00
_cell_angle_gamma 90.00
_space_group_name_H-M_alt 'P -4 m 2'
_space_group_IT_number 115
loop_
_space_group_symop_operation_xyz
'x,y,z'
'y,-x,-z'
'-x,-y,z'
'-y,x,-z'
'-x,y,z'
'-y,-x,-z'
'x,-y,z'
'y,x,-z'
loop_
_atom_site_label
_atom_site_fract_x
_atom_site_fract_y
_atom_site_fract_z
Ba1 0.000 0.500 0.245
Zn1 0.000 0.000 0.000
Zn2 0.000 0.500 0.630
Zn3 0.000 0.500 0.878
Zn4 0.500 0.500 0.000
Zn5 0.500 0.500 0.500
Ag1 0.000 0.000 0.500